The following is a DFT calculation (GGA-PBE) of NaYHf after structural relaxation.

Lattice parameters (Å, degrees): 10.364 3.325 5.198 90.00 90.01 97.68
Fractional coordinates of all 6 atoms:
Y (0.981, 0.242, 0.098)
Y (0.573, 0.070, 0.597)
Na (0.186, 0.851, 0.598)
Na (0.368, 0.469, 0.097)
Hf (0.840, 0.681, 0.598)
Hf (0.714, 0.631, 0.097)

Summary:
- Polymorph energy (0 for the lowest one): 0.085 eV/atom
- Magnetization: 0.000 μB/atom
- ΔE_f: 0.6 eV/f.u.

---

The following is a DFT calculation (GGA-PBE) of Tb3Tm12Al after structural relaxation.

Lattice parameters (Å, degrees): 4.878 4.878 19.732 90.00 90.00 90.00
Fractional coordinates of all 16 atoms:
Tb (0.000, 0.000, 0.246)
Tb (0.000, 0.000, 0.500)
Tb (0.000, 0.000, 0.754)
Tm (0.500, 0.500, 0.000)
Tm (0.500, 0.500, 0.242)
Tm (0.500, 0.500, 0.500)
Tm (0.500, 0.500, 0.758)
Tm (0.500, 0.000, 0.117)
Tm (0.500, 0.000, 0.372)
Tm (0.500, 0.000, 0.628)
Tm (0.500, 0.000, 0.883)
Tm (0.000, 0.500, 0.117)
Tm (0.000, 0.500, 0.372)
Tm (0.000, 0.500, 0.628)
Tm (0.000, 0.500, 0.883)
Al (0.000, 0.000, 0.000)

Summary:
- Magnetization: 0.000 μB/atom
- ΔE_f: -0.3 eV/f.u.

---

The following is a DFT calculation (GGA-PBE) of LaRh2Br after structural relaxation.

Lattice parameters (Å, degrees): 7.385 7.385 7.385 33.04 33.04 33.04
Fractional coordinates of all 4 atoms:
Rh (0.985, 0.985, 0.985)
Rh (0.290, 0.290, 0.290)
Br (0.493, 0.493, 0.493)
La (0.732, 0.732, 0.732)

Summary:
- Polymorph energy (0 for the lowest one): 0.043 eV/atom
- Magnetization: 0.300 μB/atom
- Formation energy from raw total energies: -0.438 eV/atom

---

The following is a DFT calculation (GGA-PBE) of Fe2HgAs after structural relaxation.

Lattice parameters (Å, degrees): 4.882 4.882 4.882 138.54 122.35 73.47
Fractional coordinates of all 4 atoms:
As (0.250, 0.750, 0.500)
Fe (0.030, 0.030, 0.000)
Fe (0.470, 0.470, 0.000)
Hg (0.750, 0.250, 0.500)

Summary:
- Polymorph energy (0 for the lowest one): 0.256 eV/atom
- Magnetization: 1.226 μB/atom
- ΔE_f: 1.7 eV/f.u.

---

The following is a DFT calculation (GGA-PBE) of MgCrSi2 after structural relaxation.

Lattice parameters (Å, degrees): 4.470 4.470 4.470 60.00 60.00 60.00
Fractional coordinates of all 4 atoms:
Cr (0.500, 0.500, 0.500)
Mg (0.750, 0.750, 0.750)
Si (0.000, 0.000, 0.000)
Si (0.250, 0.250, 0.250)

Summary:
- Magnetization: 0.878 μB/atom
- Formation energy from raw total energies: 0.406 eV/atom

---

The following is a DFT calculation (GGA-PBE) of LiIn2Hg after structural relaxation.

Lattice parameters (Å, degrees): 5.541 5.548 5.614 132.64 132.45 69.79
Fractional coordinates of all 4 atoms:
Li (0.499, 0.501, 0.000)
Hg (0.752, 0.248, 0.501)
In (0.000, 0.000, 0.000)
In (0.250, 0.751, 0.500)

Summary:
- Magnetization: 0.000 μB/atom
- ΔE_f: -0.6 eV/f.u.

---

The following is a DFT calculation (GGA-PBE) of NaErSe2 after structural relaxation.

Lattice parameters (Å, degrees): 3.999 3.999 7.764 75.08 75.08 60.00
Fractional coordinates of all 4 atoms:
Na (0.668, 0.668, 0.995)
Er (0.499, 0.499, 0.502)
Se (0.089, 0.089, 0.734)
Se (0.244, 0.244, 0.269)

Summary:
- Polymorph energy (0 for the lowest one): 0.123 eV/atom
- Magnetization: 0.000 μB/atom
- Formation energy from raw total energies: -1.580 eV/atom

---

The following is a DFT calculation (GGA-PBE) of LiLa2Co after structural relaxation.

Lattice parameters (Å, degrees): 3.535 3.535 8.286 90.00 90.00 90.00
Fractional coordinates of all 4 atoms:
Co (0.500, 0.500, 0.750)
La (0.000, 0.000, 0.949)
La (0.000, 0.000, 0.551)
Li (0.500, 0.500, 0.250)

Summary:
- Magnetization: 0.000 μB/atom
- ΔE_f: 0.1 eV/f.u.